The following is a DFT calculation (PBE) of crystalline TaV6Ga at its relaxed geometry.

Computed properties:
The calculation puts the theoretical density at 7.91 Mg/m³. As for the formation energy: 1.07 eV per formula unit. The volume comes out at 117 Å³/f.u. The calculation puts the electronic total energy at -8.57 eV/atom.

Cell and atoms, written as CIF:
```
data_TaV6Ga
_chemical_formula_sum 'Ta2 V12 Ga2'
_symmetry_space_group_name_H-M 'C 1 2/m 1'
_symmetry_Int_Tables_number 12
_symmetry_space_group_name_Hall '-C 2y'
_cell_length_a 5.351
_cell_length_b 8.750
_cell_length_c 5.198
_cell_angle_alpha 90.00
_cell_angle_beta 106.30
_cell_angle_gamma 90.00
loop_
_atom_site_label
_atom_site_type_symbol
_atom_site_fract_x
_atom_site_fract_y
_atom_site_fract_z
Ta1 Ta 0.000 0.000 0.000
V1 V 0.005 0.500 0.244
V2 V 0.247 0.252 0.246
Ga1 Ga 0.000 0.000 0.500
```